# HfSc2Sb

A geometry-optimized HfSc2Sb structure (PBE, Alexandria).

```
HfSc2Sb
1.0
1.6763 0.9678 9.6983
-1.6763 0.9678 9.6983
0.0000 -1.9357 9.6983
Hf Sc Sb
1 2 1
Cartesian
0.0000 0.0000 0.0000 Hf
0.0000 0.0000 16.9525 Sc
0.0000 0.0000 21.8690 Sc
0.0000 0.0000 4.8534 Sb
```

* theoretical density: 6.862 g/cm³
* DOS at the Fermi energy: 1.040 states/eV/atom
* VASP energy: -6.91 eV per atom